(1)
Density functional theory data (PBE) for an optimized crystal structure of Ta3SbCN.

```
Ta3SbCN
1.0
3.244 0.000 0.000
-1.622 2.809 0.000
0.000 0.000 18.511
Ta Sb C N
6 2 2 2
direct
0.000 0.000 0.000
0.000 0.000 0.500
0.333 0.667 0.129
0.333 0.667 0.370
0.667 0.333 0.630
0.667 0.333 0.871
0.000 0.000 0.247
0.000 0.000 0.753
0.333 0.667 0.571
0.667 0.333 0.429
0.333 0.667 0.935
0.667 0.333 0.065
```

Computed properties:
**DFT total energy**: -9.9326 eV per atom
**Space-group type**: P-3m1, No. 164
**Calculated density**: 13.60 g/cm3
**Total moment**: 0.00 μB/atom

(2)
Density functional theory data (PBE) for an optimized crystal structure of Ta8Sb2C3N3.

```
Ta8Sb2C3N3
1.0
3.236 0.000 0.000
-1.618 2.802 0.000
0.000 0.000 23.469
Ta Sb C N
8 2 3 3
direct
0.000 0.000 0.151
0.000 0.000 0.342
0.000 0.000 0.658
0.000 0.000 0.849
0.333 0.667 0.556
0.333 0.667 0.945
0.667 0.333 0.055
0.667 0.333 0.444
0.333 0.667 0.754
0.667 0.333 0.246
0.000 0.000 0.500
0.333 0.667 0.391
0.667 0.333 0.609
0.000 0.000 0.000
0.333 0.667 0.105
0.667 0.333 0.895
```

Computed properties:
**DFT total energy**: -10.2129 eV per atom
**Space-group type**: P-3m1, No. 164
**Calculated density**: 13.80 g/cm3
**Total moment**: 0.00 μB/atom

(3)
Density functional theory data (PBE) for an optimized crystal structure of Zr3SbCN.

```
Zr3SbCN
1.0
3.374 0.000 0.000
-1.687 2.922 0.000
0.000 0.000 19.459
Zr Sb C N
6 2 2 2
direct
0.000 0.000 0.000
0.000 0.000 0.500
0.333 0.667 0.130
0.333 0.667 0.368
0.667 0.333 0.632
0.667 0.333 0.870
0.000 0.000 0.248
0.000 0.000 0.752
0.333 0.667 0.572
0.667 0.333 0.428
0.333 0.667 0.933
0.667 0.333 0.067
```

Computed properties:
**DFT total energy**: -8.9128 eV per atom
**Space-group type**: P-3m1, No. 164
**Calculated density**: 7.30 g/cm3
**Total moment**: 0.00 μB/atom

(4)
Density functional theory data (PBE) for an optimized crystal structure of Sc4Zn2CN.

```
Sc4Zn2CN
1.0
3.250 0.000 0.000
-1.625 2.814 0.000
0.000 0.000 14.456
Sc Zn C N
4 2 1 1
direct
0.333 0.667 0.086
0.333 0.667 0.414
0.667 0.333 0.586
0.667 0.333 0.914
0.333 0.667 0.745
0.667 0.333 0.255
0.000 0.000 0.000
0.000 0.000 0.500
```

Computed properties:
**DFT total energy**: -6.3668 eV per atom
**Space-group type**: P-3m1, No. 164
**Calculated density**: 4.23 g/cm3
**Total moment**: 0.07 μB/atom

(5)
Density functional theory data (PBE) for an optimized crystal structure of Ta3SiCN.

```
Ta3SiCN
1.0
3.159 0.000 0.000
-1.579 2.736 0.000
0.000 0.000 17.715
Ta Si C N
6 2 2 2
direct
0.000 0.000 0.000
0.000 0.000 0.500
0.333 0.667 0.140
0.333 0.667 0.357
0.667 0.333 0.643
0.667 0.333 0.860
0.000 0.000 0.248
0.000 0.000 0.752
0.333 0.667 0.574
0.667 0.333 0.426
0.333 0.667 0.930
0.667 0.333 0.070
```

Computed properties:
**DFT total energy**: -10.3349 eV per atom
**Space-group type**: P-3m1, No. 164
**Calculated density**: 12.95 g/cm3
**Total moment**: 0.00 μB/atom

(6)
Density functional theory data (PBE) for an optimized crystal structure of Ta8Si2C3N3.

```
Ta8Si2C3N3
1.0
3.171 0.000 0.000
-1.585 2.746 0.000
0.000 0.000 22.674
Ta Si C N
8 2 3 3
direct
0.000 0.000 0.165
0.000 0.000 0.333
0.000 0.000 0.667
0.000 0.000 0.835
0.333 0.667 0.558
0.333 0.667 0.945
0.667 0.333 0.055
0.667 0.333 0.442
0.333 0.667 0.752
0.667 0.333 0.248
0.000 0.000 0.500
0.333 0.667 0.386
0.667 0.333 0.614
0.000 0.000 0.000
0.333 0.667 0.110
0.667 0.333 0.890
```

Computed properties:
**DFT total energy**: -10.5131 eV per atom
**Space-group type**: P-3m1, No. 164
**Calculated density**: 13.31 g/cm3
**Total moment**: 0.00 μB/atom

(7)
Density functional theory data (PBE) for an optimized crystal structure of Ta4Si2CN.

```
Ta4Si2CN
1.0
3.227 0.000 0.000
-1.613 2.795 0.000
0.000 0.000 12.206
Ta Si C N
4 2 1 1
direct
0.333 0.667 0.098
0.333 0.667 0.405
0.667 0.333 0.595
0.667 0.333 0.902
0.333 0.667 0.748
0.667 0.333 0.252
0.000 0.000 0.000
0.000 0.000 0.500
```

Computed properties:
**DFT total energy**: -10.0333 eV per atom
**Space-group type**: P-3m1, No. 164
**Calculated density**: 12.16 g/cm3
**Total moment**: 0.00 μB/atom

(8)
Density functional theory data (PBE) for an optimized crystal structure of SiW3CN.

```
SiW3CN
1.0
3.047 0.000 0.000
-1.523 2.639 0.000
0.000 0.000 17.908
Si W C N
2 6 2 2
direct
0.000 0.000 0.248
0.000 0.000 0.752
0.000 0.000 0.000
0.000 0.000 0.500
0.333 0.667 0.648
0.333 0.667 0.860
0.667 0.333 0.140
0.667 0.333 0.352
0.333 0.667 0.073
0.667 0.333 0.927
0.333 0.667 0.425
0.667 0.333 0.575
```

Computed properties:
**DFT total energy**: -10.0894 eV per atom
**Space-group type**: P-3m1, No. 164
**Calculated density**: 13.97 g/cm3
**Total moment**: 0.00 μB/atom

(9)
Density functional theory data (PBE) for an optimized crystal structure of Zr4Si2CN.

```
Zr4Si2CN
1.0
3.293 0.000 0.000
-1.646 2.851 0.000
0.000 0.000 13.566
Zr Si C N
4 2 1 1
direct
0.333 0.667 0.096
0.333 0.667 0.406
0.667 0.333 0.594
0.667 0.333 0.904
0.333 0.667 0.749
0.667 0.333 0.251
0.000 0.000 0.000
0.000 0.000 0.500
```

Computed properties:
**DFT total energy**: -8.7647 eV per atom
**Space-group type**: P-3m1, No. 164
**Calculated density**: 5.83 g/cm3
**Total moment**: 0.00 μB/atom

(10)
Density functional theory data (PBE) for an optimized crystal structure of Zr8Si2C3N3.

```
Zr8Si2C3N3
1.0
3.302 0.000 0.000
-1.651 2.860 0.000
0.000 0.000 24.204
Zr Si C N
8 2 3 3
direct
0.000 0.000 0.162
0.000 0.000 0.335
0.000 0.000 0.665
0.000 0.000 0.838
0.333 0.667 0.555
0.333 0.667 0.944
0.667 0.333 0.056
0.667 0.333 0.445
0.333 0.667 0.752
0.667 0.333 0.248
0.000 0.000 0.500
0.333 0.667 0.385
0.667 0.333 0.615
0.000 0.000 0.000
0.333 0.667 0.109
0.667 0.333 0.891
```

Computed properties:
**DFT total energy**: -9.3428 eV per atom
**Space-group type**: P-3m1, No. 164
**Calculated density**: 6.28 g/cm3
**Total moment**: 0.00 μB/atom

(11)
Density functional theory data (PBE) for an optimized crystal structure of SmCN2.

```
SmCN2
1.0
-3.791 3.791 3.631
3.791 -3.791 3.631
3.791 3.791 -3.631
Sm C N
4 4 8
direct
0.375 0.064 0.189
0.814 0.625 0.689
0.875 0.186 0.811
0.936 0.125 0.311
0.320 0.125 0.695
0.375 0.680 0.805
0.430 0.625 0.305
0.875 0.570 0.195
0.153 0.008 0.739
0.164 0.520 0.761
0.270 0.414 0.261
0.480 0.242 0.645
0.586 0.847 0.855
0.597 0.836 0.355
0.758 0.403 0.239
0.992 0.730 0.145
```

Computed properties:
**DFT total energy**: -8.2307 eV per atom
**Space-group type**: I-42d, No. 122
**Calculated density**: 6.06 g/cm3
**Total moment**: 0.00 μB/atom

(12)
Density functional theory data (PBE) for an optimized crystal structure of Ta8Sn2C3N3.

```
Ta8Sn2C3N3
1.0
3.173 0.000 0.000
-1.586 2.747 0.000
0.000 0.000 24.364
Ta Sn C N
8 2 3 3
direct
0.000 0.000 0.151
0.000 0.000 0.345
0.000 0.000 0.655
0.000 0.000 0.849
0.333 0.667 0.555
0.333 0.667 0.948
0.667 0.333 0.052
0.667 0.333 0.445
0.333 0.667 0.753
0.667 0.333 0.247
0.000 0.000 0.500
0.333 0.667 0.393
0.667 0.333 0.607
0.000 0.000 0.000
0.333 0.667 0.103
0.667 0.333 0.897
```

Computed properties:
**DFT total energy**: -10.2469 eV per atom
**Space-group type**: P-3m1, No. 164
**Calculated density**: 13.79 g/cm3
**Total moment**: 0.00 μB/atom

(13)
Density functional theory data (PBE) for an optimized crystal structure of Zr4Sn2CN.

```
Zr4Sn2CN
1.0
3.346 0.000 0.000
-1.673 2.898 0.000
0.000 0.000 14.705
Zr Sn C N
4 2 1 1
direct
0.333 0.667 0.086
0.333 0.667 0.415
0.667 0.333 0.585
0.667 0.333 0.914
0.333 0.667 0.749
0.667 0.333 0.251
0.000 0.000 0.000
0.000 0.000 0.500
```

Computed properties:
**DFT total energy**: -8.4127 eV per atom
**Space-group type**: P-3m1, No. 164
**Calculated density**: 7.32 g/cm3
**Total moment**: 0.00 μB/atom

(14)
Density functional theory data (PBE) for an optimized crystal structure of Zr8Sn2C3N3.

```
Zr8Sn2C3N3
1.0
3.324 0.000 0.000
-1.662 2.878 0.000
0.000 0.000 25.397
Zr Sn C N
8 2 3 3
direct
0.000 0.000 0.153
0.000 0.000 0.344
0.000 0.000 0.656
0.000 0.000 0.847
0.333 0.667 0.552
0.333 0.667 0.947
0.667 0.333 0.053
0.667 0.333 0.448
0.333 0.667 0.752
0.667 0.333 0.248
0.000 0.000 0.500
0.333 0.667 0.391
0.667 0.333 0.609
0.000 0.000 0.000
0.333 0.667 0.103
0.667 0.333 0.897
```

Computed properties:
**DFT total energy**: -9.1689 eV per atom
**Space-group type**: P-3m1, No. 164
**Calculated density**: 7.14 g/cm3
**Total moment**: 0.00 μB/atom

(15)
Density functional theory data (PBE) for an optimized crystal structure of Ta8Tl2C3N3.

```
Ta8Tl2C3N3
1.0
3.143 0.000 0.000
-1.571 2.722 0.000
0.000 0.000 25.041
Ta Tl C N
8 2 3 3
direct
0.000 0.000 0.152
0.000 0.000 0.348
0.000 0.000 0.652
0.000 0.000 0.848
0.333 0.667 0.053
0.333 0.667 0.450
0.667 0.333 0.550
0.667 0.333 0.947
0.333 0.667 0.250
0.667 0.333 0.750
0.000 0.000 0.000
0.333 0.667 0.896
0.667 0.333 0.104
0.000 0.000 0.500
0.333 0.667 0.601
0.667 0.333 0.399
```

Computed properties:
**DFT total energy**: -10.0018 eV per atom
**Space-group type**: P-3m1, No. 164
**Calculated density**: 15.00 g/cm3
**Total moment**: 0.00 μB/atom

(16)
Density functional theory data (PBE) for an optimized crystal structure of Ta4Zn2CN.

```
Ta4Zn2CN
1.0
3.114 0.000 0.000
-1.557 2.697 0.000
0.000 0.000 13.626
Ta Zn C N
4 2 1 1
direct
0.333 0.667 0.089
0.333 0.667 0.412
0.667 0.333 0.588
0.667 0.333 0.911
0.333 0.667 0.749
0.667 0.333 0.251
0.000 0.000 0.000
0.000 0.000 0.500
```

Computed properties:
**DFT total energy**: -8.8829 eV per atom
**Space-group type**: P-3m1, No. 164
**Calculated density**: 12.78 g/cm3
**Total moment**: 0.00 μB/atom

(17)
Density functional theory data (PBE) for an optimized crystal structure of Ta3ZnCN.

```
Ta3ZnCN
1.0
3.107 0.000 0.000
-1.553 2.691 0.000
0.000 0.000 18.898
Ta Zn C N
6 2 2 2
direct
0.000 0.000 0.000
0.000 0.000 0.500
0.333 0.667 0.133
0.333 0.667 0.366
0.667 0.333 0.634
0.667 0.333 0.867
0.000 0.000 0.249
0.000 0.000 0.751
0.333 0.667 0.570
0.667 0.333 0.430
0.333 0.667 0.933
0.667 0.333 0.067
```

Computed properties:
**DFT total energy**: -9.5994 eV per atom
**Space-group type**: P-3m1, No. 164
**Calculated density**: 13.34 g/cm3
**Total moment**: 0.00 μB/atom

(18)
Density functional theory data (PBE) for an optimized crystal structure of Ta8Zn2C3N3.

```
Ta8Zn2C3N3
1.0
3.108 0.000 0.000
-1.554 2.692 0.000
0.000 0.000 24.103
Ta Zn C N
8 2 3 3
direct
0.000 0.000 0.159
0.000 0.000 0.341
0.000 0.000 0.659
0.000 0.000 0.841
0.333 0.667 0.056
0.333 0.667 0.447
0.667 0.333 0.553
0.667 0.333 0.944
0.333 0.667 0.251
0.667 0.333 0.749
0.000 0.000 0.000
0.333 0.667 0.890
0.667 0.333 0.110
0.000 0.000 0.500
0.333 0.667 0.607
0.667 0.333 0.393
```

Computed properties:
**DFT total energy**: -9.9650 eV per atom
**Space-group type**: P-3m1, No. 164
**Calculated density**: 13.64 g/cm3
**Total moment**: 0.00 μB/atom

(19)
Density functional theory data (PBE) for an optimized crystal structure of TbCN3.

```
TbCN3
1.0
3.401 0.000 0.000
0.000 5.084 0.000
-1.275 0.000 5.927
Tb C N
2 2 6
direct
0.087 0.250 0.320
0.913 0.750 0.680
0.410 0.750 0.199
0.590 0.250 0.801
0.284 0.750 0.398
0.465 0.509 0.111
0.465 0.991 0.111
0.535 0.009 0.889
0.535 0.491 0.889
0.716 0.250 0.602
```

Computed properties:
**DFT total energy**: -8.3343 eV per atom
**Space-group type**: P2_1/m, No. 11
**Calculated density**: 6.90 g/cm3
**Total moment**: 0.00 μB/atom

(20)
Density functional theory data (PBE) for an optimized crystal structure of Th4C2N.

```
Th4C2N
1.0
1.840 1.062 12.084
-1.840 1.062 12.084
0.000 -2.125 12.084
Th C N
4 2 1
direct
0.124 0.124 0.124
0.292 0.292 0.292
0.708 0.708 0.708
0.876 0.876 0.876
0.419 0.419 0.419
0.581 0.581 0.581
0.000 0.000 0.000
```

Computed properties:
**DFT total energy**: -8.7026 eV per atom
**Space-group type**: R-3m, No. 166
**Calculated density**: 11.32 g/cm3
**Total moment**: 0.00 μB/atom